Compound: Ta2FeSb
Source: Alexandria
Functional: GGA-PBE
Structure: optimized geometry

## Properties
Its crystal system is cubic. Its electronic total energy is -34.978 eV for the cell shown. The density of states at the Fermi level is 1.106 states/eV/atom. As for the volume: 68 Å³ per cell.

Lattice parameters (Å, degrees): 4.5897 4.5897 4.5897 60.00 60.00 60.00
Each line ends with the local moment (μB).
Fractional coordinates of all 4 atoms:
1 Fe 0.5000 0.5000 0.5000  1.49
2 Sb 0.2500 0.2500 0.2500  0.00
3 Ta 0.0000 0.0000 0.0000  0.14
4 Ta 0.7500 0.7500 0.7500  -0.12